A plane-wave DFT calculation with PBE+U was carried out for a relaxed structure of LaCrO3.

```
5
Lattice="4.401 0.000 0.000 0.000 4.401 0.000 0.000 0.000 4.401" Properties=species:S:1:pos:R:3 pbc="T T T"
La 0.000 0.000 0.000
O 0.000 0.000 2.201
Cr 2.201 2.201 2.201
O 0.000 2.201 0.000
O 2.201 0.000 0.000
```

## Properties
V (Å³ per cell): 85
VASP energy (eV/atom): -6.0978
Theoretical density (g/cm3): 4.7
Space-group type: Pm-3m